# GGA-PBE Nb2TlV, optimized geometry
data_Nb2TlV
_space_group_name_H-M_alt 'P 1'
_space_group_IT_number 1
_cell_length_a 3.936
_cell_length_b 3.936
_cell_length_c 10.549
_cell_angle_alpha 79.25
_cell_angle_beta 79.25
_cell_angle_gamma 90.00
loop_
_space_group_symop_operation_xyz
'x,y,z'
loop_
_atom_site_label
_atom_site_fract_x
_atom_site_fract_y
_atom_site_fract_z
Tl1 0.000 0.000 0.000
Tl2 0.750 0.250 0.500
Nb1 0.613 0.125 0.250
Nb2 0.137 0.625 0.250
Nb3 0.375 0.387 0.750
Nb4 0.875 0.863 0.750
V1 0.500 0.500 0.000
V2 0.250 0.750 0.500
# **Mass density**: 9.296 g/cm3
# **Energy relative to the elements**: 780.3 meV/atom
# **Raw total energy**: -57.01 eV for the cell shown

# GGA-PBE Nb2TlV, optimized geometry
data_Nb2TlV
_space_group_name_H-M_alt 'P 1'
_space_group_IT_number 1
_cell_length_a 3.109
_cell_length_b 3.109
_cell_length_c 9.952
_cell_angle_alpha 81.01
_cell_angle_beta 81.01
_cell_angle_gamma 60.00
loop_
_space_group_symop_operation_xyz
'x,y,z'
loop_
_atom_site_label
_atom_site_fract_x
_atom_site_fract_y
_atom_site_fract_z
Tl1 0.000 0.000 0.000
Nb1 0.101 0.101 0.696
Nb2 0.899 0.899 0.304
V1 0.500 0.500 0.500
# **Mass density**: 8.939 g/cm3
# **Energy relative to the elements**: 558.2 meV/atom
# **Raw total energy**: -29.39 eV for the cell shown

# GGA-PBE Nb2TlV, optimized geometry
data_Nb2TlV
_space_group_name_H-M_alt 'P 1'
_space_group_IT_number 1
_cell_length_a 4.695
_cell_length_b 4.695
_cell_length_c 4.695
_cell_angle_alpha 60.00
_cell_angle_beta 60.00
_cell_angle_gamma 60.00
loop_
_space_group_symop_operation_xyz
'x,y,z'
loop_
_atom_site_label
_atom_site_fract_x
_atom_site_fract_y
_atom_site_fract_z
Tl1 0.500 0.500 0.500
Nb1 0.250 0.250 0.250
Nb2 0.750 0.750 0.750
V1 0.000 0.000 0.000
# **Mass density**: 10.010 g/cm3
# **Energy relative to the elements**: 408.0 meV/atom
# **Raw total energy**: -29.99 eV for the cell shown

# GGA-PBE Nb2TlV2, optimized geometry
data_Nb2TlV2
_space_group_name_H-M_alt 'P 1'
_space_group_IT_number 1
_cell_length_a 7.215
_cell_length_b 7.215
_cell_length_c 3.364
_cell_angle_alpha 90.00
_cell_angle_beta 90.00
_cell_angle_gamma 90.00
loop_
_space_group_symop_operation_xyz
'x,y,z'
loop_
_atom_site_label
_atom_site_fract_x
_atom_site_fract_y
_atom_site_fract_z
Tl1 0.000 0.000 0.000
Tl2 0.500 0.500 0.000
Nb1 0.190 0.690 0.500
Nb2 0.690 0.810 0.500
Nb3 0.810 0.310 0.500
Nb4 0.310 0.190 0.500
V1 0.393 0.893 0.000
V2 0.893 0.607 0.000
V3 0.607 0.107 0.000
V4 0.107 0.393 0.000
# **Mass density**: 9.330 g/cm3
# **Energy relative to the elements**: 285.3 meV/atom
# **Raw total energy**: -78.63 eV for the cell shown

# GGA-PBE Nb5Tl3V12, optimized geometry
data_Nb5Tl3V12
_space_group_name_H-M_alt 'P 1'
_space_group_IT_number 1
_cell_length_a 12.921
_cell_length_b 12.921
_cell_length_c 12.921
_cell_angle_alpha 109.47
_cell_angle_beta 109.47
_cell_angle_gamma 109.47
loop_
_space_group_symop_operation_xyz
'x,y,z'
loop_
_atom_site_label
_atom_site_fract_x
_atom_site_fract_y
_atom_site_fract_z
Tl1 0.750 0.375 0.125
Tl2 0.875 0.750 0.125
Tl3 0.375 0.750 0.625
Tl4 0.250 0.125 0.375
Tl5 0.875 0.125 0.250
Tl6 0.375 0.625 0.250
Tl7 0.625 0.375 0.750
Tl8 0.125 0.875 0.750
Tl9 0.750 0.875 0.625
Tl10 0.625 0.250 0.375
Tl11 0.125 0.250 0.875
Tl12 0.250 0.625 0.875
Nb1 0.125 0.375 0.250
Nb2 0.000 0.500 0.000
Nb3 0.000 0.000 0.000
Nb4 0.375 0.250 0.125
Nb5 0.500 0.000 0.500
Nb6 0.500 0.500 0.000
Nb7 0.125 0.750 0.375
Nb8 0.750 0.125 0.875
Nb9 0.750 0.625 0.375
Nb10 0.375 0.125 0.750
Nb11 0.625 0.875 0.250
Nb12 0.500 0.500 0.500
Nb13 0.500 0.000 0.000
Nb14 0.000 0.000 0.500
Nb15 0.250 0.375 0.625
Nb16 0.250 0.875 0.125
Nb17 0.000 0.500 0.500
Nb18 0.875 0.250 0.625
Nb19 0.625 0.750 0.875
Nb20 0.875 0.625 0.750
V1 0.721 0.145 0.065
V2 0.344 0.565 0.420
V3 0.935 0.355 0.279
V4 0.565 0.221 0.145
V5 0.576 0.721 0.656
V6 0.935 0.580 0.156
V7 0.344 0.779 0.424
V8 0.080 0.924 0.145
V9 0.580 0.935 0.656
V10 0.721 0.576 0.156
V11 0.779 0.435 0.355
V12 0.844 0.920 0.065
V13 0.145 0.721 0.565
V14 0.355 0.420 0.076
V15 0.076 0.920 0.355
V16 0.424 0.145 0.580
V17 0.076 0.156 0.221
V18 0.435 0.656 0.080
V19 0.844 0.924 0.279
V20 0.145 0.424 0.080
V21 0.355 0.935 0.779
V22 0.580 0.645 0.424
V23 0.920 0.844 0.565
V24 0.779 0.344 0.924
V25 0.420 0.355 0.576
V26 0.080 0.156 0.435
V27 0.221 0.656 0.076
V28 0.156 0.076 0.721
V29 0.645 0.065 0.221
V30 0.855 0.576 0.920
V31 0.565 0.344 0.920
V32 0.576 0.855 0.420
V33 0.924 0.844 0.779
V34 0.924 0.080 0.645
V35 0.855 0.279 0.435
V36 0.156 0.080 0.935
V37 0.645 0.580 0.924
V38 0.420 0.065 0.344
V39 0.279 0.424 0.844
V40 0.221 0.565 0.645
V41 0.920 0.076 0.855
V42 0.656 0.221 0.576
V43 0.435 0.779 0.855
V44 0.065 0.420 0.844
V45 0.424 0.279 0.344
V46 0.065 0.645 0.721
V47 0.656 0.435 0.580
V48 0.279 0.855 0.935
# **Mass density**: 6.755 g/cm3
# **Energy relative to the elements**: 1521.2 meV/atom
# **Raw total energy**: -545.79 eV for the cell shown

# GGA-PBE NbTlV3, optimized geometry
data_NbTlV3
_space_group_name_H-M_alt 'P 1'
_space_group_IT_number 1
_cell_length_a 4.916
_cell_length_b 4.916
_cell_length_c 4.916
_cell_angle_alpha 90.00
_cell_angle_beta 90.00
_cell_angle_gamma 90.00
loop_
_space_group_symop_operation_xyz
'x,y,z'
loop_
_atom_site_label
_atom_site_fract_x
_atom_site_fract_y
_atom_site_fract_z
Tl1 0.000 0.000 0.000
Nb1 0.500 0.500 0.500
V1 0.000 0.500 0.000
V2 0.000 0.000 0.500
V3 0.500 0.000 0.000
# **Mass density**: 6.290 g/cm3
# **Energy relative to the elements**: 2063.6 meV/atom
# **Raw total energy**: -29.47 eV for the cell shown

# GGA-PBE NbTl3V, optimized geometry
data_NbTl3V
_space_group_name_H-M_alt 'P 1'
_space_group_IT_number 1
_cell_length_a 5.432
_cell_length_b 5.432
_cell_length_c 5.432
_cell_angle_alpha 90.00
_cell_angle_beta 90.00
_cell_angle_gamma 90.00
loop_
_space_group_symop_operation_xyz
'x,y,z'
loop_
_atom_site_label
_atom_site_fract_x
_atom_site_fract_y
_atom_site_fract_z
Tl1 0.000 0.500 0.000
Tl2 0.000 0.000 0.500
Tl3 0.500 0.000 0.000
Nb1 0.000 0.000 0.000
V1 0.500 0.500 0.500
# **Mass density**: 7.845 g/cm3
# **Energy relative to the elements**: 1160.4 meV/atom
# **Raw total energy**: -20.49 eV for the cell shown

# GGA-PBE NbTlV3, optimized geometry
data_NbTlV3
_space_group_name_H-M_alt 'P 1'
_space_group_IT_number 1
_cell_length_a 4.653
_cell_length_b 4.653
_cell_length_c 4.653
_cell_angle_alpha 90.00
_cell_angle_beta 90.00
_cell_angle_gamma 90.00
loop_
_space_group_symop_operation_xyz
'x,y,z'
loop_
_atom_site_label
_atom_site_fract_x
_atom_site_fract_y
_atom_site_fract_z
Tl1 0.500 0.500 0.500
Nb1 0.000 0.000 0.000
V1 0.000 0.500 0.000
V2 0.000 0.000 0.500
V3 0.500 0.000 0.000
# **Mass density**: 7.418 g/cm3
# **Energy relative to the elements**: 1333.1 meV/atom
# **Raw total energy**: -33.13 eV for the cell shown

# GGA-PBE NbTl2W, optimized geometry
data_NbTl2W
_space_group_name_H-M_alt 'P 1'
_space_group_IT_number 1
_cell_length_a 4.806
_cell_length_b 4.806
_cell_length_c 4.806
_cell_angle_alpha 60.00
_cell_angle_beta 60.00
_cell_angle_gamma 60.00
loop_
_space_group_symop_operation_xyz
'x,y,z'
loop_
_atom_site_label
_atom_site_fract_x
_atom_site_fract_y
_atom_site_fract_z
Tl1 0.250 0.250 0.250
Tl2 0.750 0.750 0.750
Nb1 0.000 0.000 0.000
W1 0.500 0.500 0.500
# **Mass density**: 14.501 g/cm3
# **Energy relative to the elements**: 978.8 meV/atom
# **Raw total energy**: -23.84 eV for the cell shown

# GGA-PBE Nb2TlW, optimized geometry
data_Nb2TlW
_space_group_name_H-M_alt 'P 1'
_space_group_IT_number 1
_cell_length_a 7.631
_cell_length_b 7.631
_cell_length_c 6.097
_cell_angle_alpha 51.26
_cell_angle_beta 51.26
_cell_angle_gamma 90.00
loop_
_space_group_symop_operation_xyz
'x,y,z'
loop_
_atom_site_label
_atom_site_fract_x
_atom_site_fract_y
_atom_site_fract_z
Tl1 0.000 0.000 0.000
Tl2 0.750 0.250 0.500
Nb1 0.586 0.125 0.250
Nb2 0.164 0.625 0.250
Nb3 0.375 0.414 0.750
Nb4 0.875 0.836 0.750
W1 0.500 0.500 0.000
W2 0.250 0.750 0.500
# **Mass density**: 11.536 g/cm3
# **Energy relative to the elements**: 881.6 meV/atom
# **Raw total energy**: -63.87 eV for the cell shown

# GGA-PBE Nb2TlW, optimized geometry
data_Nb2TlW
_space_group_name_H-M_alt 'P 1'
_space_group_IT_number 1
_cell_length_a 4.729
_cell_length_b 4.729
_cell_length_c 4.729
_cell_angle_alpha 60.00
_cell_angle_beta 60.00
_cell_angle_gamma 60.00
loop_
_space_group_symop_operation_xyz
'x,y,z'
loop_
_atom_site_label
_atom_site_fract_x
_atom_site_fract_y
_atom_site_fract_z
Tl1 0.500 0.500 0.500
Nb1 0.250 0.250 0.250
Nb2 0.750 0.750 0.750
W1 0.000 0.000 0.000
# **Mass density**: 12.747 g/cm3
# **Energy relative to the elements**: 438.5 meV/atom
# **Raw total energy**: -33.71 eV for the cell shown

# GGA-PBE NbTl3W, optimized geometry
data_NbTl3W
_space_group_name_H-M_alt 'P 1'
_space_group_IT_number 1
_cell_length_a 5.347
_cell_length_b 5.347
_cell_length_c 5.347
_cell_angle_alpha 90.00
_cell_angle_beta 90.00
_cell_angle_gamma 90.00
loop_
_space_group_symop_operation_xyz
'x,y,z'
loop_
_atom_site_label
_atom_site_fract_x
_atom_site_fract_y
_atom_site_fract_z
Tl1 0.000 0.500 0.000
Tl2 0.000 0.000 0.500
Tl3 0.500 0.000 0.000
Nb1 0.500 0.500 0.500
W1 0.000 0.000 0.000
# **Mass density**: 9.666 g/cm3
# **Energy relative to the elements**: 1540.6 meV/atom
# **Raw total energy**: -22.42 eV for the cell shown